Computed, not measured: a geometry-optimized BeTc2Ge structure at the PBE level of DFT.

Calculated values
**Formation enthalpy at 0 K**: 1.44 eV per formula unit
**Energy relative to the lowest polymorph listed for this composition**: 364 meV per atom
**D(E_F)**: 1.91 states/eV/f.u.

abc: 3.747 3.747 9.012
angles: 78.00 78.00 90.00
Atoms (fractional coordinates):
Tc 0.875 0.816 0.750
Tc 0.375 0.434 0.750
Tc 0.566 0.125 0.250
Tc 0.184 0.625 0.250
Ge 0.750 0.250 0.500
Ge 0.000 0.000 0.000
Be 0.500 0.500 0.000
Be 0.250 0.750 0.500